The following is a DFT calculation (PBE) of NdHo3Ga4 after structural relaxation.

Unit cell a=3.524 b=6.787 c=9.251 alpha=111.50 beta=100.98 gamma=90.00
Element x y z (fractional)
Nd 0.500 0.000 0.000
Ho 0.000 0.500 0.000
Ho 0.204 0.204 0.408
Ho 0.796 0.796 0.592
Ga 0.368 0.559 0.737
Ga 0.632 0.441 0.263
Ga 0.632 0.822 0.263
Ga 0.368 0.178 0.737

Results
Calculated volume = 201.5 Å³/cell
Crystal system = orthorhombic
E above lowest polymorph = 0.99 eV/f.u.
E_form = -0.45 eV per atom
SG = Immm (71)


The following is a DFT calculation (PBE) of NdHo2Ga6 after structural relaxation.

Unit cell a=4.336 b=7.101 c=7.796 alpha=117.09 beta=106.15 gamma=90.00
Element x y z (fractional)
Nd 0.000 0.500 0.000
Ho 0.874 0.874 0.747
Ho 0.126 0.126 0.253
Ga 0.685 0.880 0.370
Ga 0.315 0.120 0.630
Ga 0.315 0.510 0.630
Ga 0.500 0.183 0.000
Ga 0.500 0.817 0.000
Ga 0.685 0.490 0.370

Results
Calculated volume = 203.0 Å³/cell
Crystal system = orthorhombic
E above lowest polymorph = 1.37 eV/f.u.
E_form = -0.49 eV per atom
SG = Immm (71)


The following is a DFT calculation (PBE) of Nd5HoGa4 after structural relaxation.

Unit cell a=3.798 b=8.938 c=9.011 alpha=94.17 beta=102.16 gamma=90.00
Element x y z (fractional)
Nd 0.814 0.651 0.628
Nd 0.850 0.206 0.699
Nd 0.150 0.794 0.301
Nd 0.500 0.500 0.000
Nd 0.186 0.349 0.372
Ho 0.500 0.000 0.000
Ga 0.318 0.934 0.635
Ga 0.977 0.754 0.954
Ga 0.682 0.066 0.365
Ga 0.023 0.246 0.046

Results
Calculated volume = 298.2 Å³/cell
Crystal system = monoclinic
E_form = -0.26 eV per atom
SG = C2/m (12)


The following is a DFT calculation (PBE) of NdHoGa2 after structural relaxation.

Unit cell a=4.414 b=4.106 c=5.970 alpha=90.00 beta=111.67 gamma=90.00
Element x y z (fractional)
Nd 0.724 0.000 0.988
Ho 0.447 0.500 0.431
Ga 0.154 0.500 0.848
Ga 0.007 0.000 0.551

Results
Calculated volume = 100.6 Å³/cell
Crystal system = monoclinic
E above lowest polymorph = 0.00 eV/f.u.
E_form = -0.60 eV per atom
SG = Pm (6)


The following is a DFT calculation (PBE) of Nd3HoGa4 after structural relaxation.

Unit cell a=3.757 b=6.837 c=9.325 alpha=111.49 beta=101.62 gamma=90.00
Element x y z (fractional)
Nd 0.000 0.500 0.000
Nd 0.202 0.202 0.404
Nd 0.798 0.798 0.596
Ho 0.500 0.000 0.000
Ga 0.372 0.566 0.745
Ga 0.628 0.434 0.255
Ga 0.627 0.821 0.255
Ga 0.373 0.179 0.745

Results
Calculated volume = 217.6 Å³/cell
Crystal system = orthorhombic
E above lowest polymorph = 1.07 eV/f.u.
E_form = -0.43 eV per atom
SG = Immm (71)


The following is a DFT calculation (PBE) of Nd2HoGa after structural relaxation.

Unit cell a=4.848 b=4.802 c=4.802 alpha=90.00 beta=90.00 gamma=90.00
Element x y z (fractional)
Nd 0.000 0.000 0.500
Nd 0.000 0.500 0.000
Ho 0.500 0.500 0.500
Ga 0.500 0.000 0.000

Results
Calculated volume = 111.8 Å³/cell
Crystal system = tetragonal
E above lowest polymorph = 0.11 eV/f.u.
E_form = -0.23 eV per atom
SG = P4/mmm (123)


The following is a DFT calculation (PBE) of NdHo3Ga2 after structural relaxation.

Unit cell a=4.950 b=6.623 c=9.555 alpha=90.00 beta=90.00 gamma=90.00
Element x y z (fractional)
Nd 0.500 0.541 0.550
Nd 0.500 0.041 0.450
Ho 0.000 0.463 0.946
Ho 0.000 0.963 0.054
Ho 0.500 0.668 0.175
Ho 0.500 0.168 0.825
Ho 0.000 0.331 0.313
Ho 0.000 0.831 0.687
Ga 0.500 0.711 0.863
Ga 0.500 0.211 0.137
Ga 0.000 0.286 0.642
Ga 0.000 0.786 0.358

Results
Calculated volume = 313.3 Å³/cell
Crystal system = orthorhombic
E above lowest polymorph = 0.00 eV/f.u.
E_form = -0.42 eV per atom
SG = Pmc2_1 (26)


The following is a DFT calculation (PBE) of Nd2HoGa2 after structural relaxation.

Unit cell a=4.708 b=6.480 c=9.836 alpha=82.41 beta=76.15 gamma=68.70
Element x y z (fractional)
Nd 0.310 0.278 0.101
Nd 0.477 0.360 0.686
Nd 0.690 0.722 0.899
Nd 0.523 0.640 0.314
Ho 0.794 0.055 0.357
Ho 0.206 0.945 0.643
Ga 0.958 0.173 0.911
Ga 0.125 0.323 0.426
Ga 0.042 0.827 0.089
Ga 0.875 0.677 0.574

Results
Calculated volume = 271.1 Å³/cell
Crystal system = monoclinic
E above lowest polymorph = 0.09 eV/f.u.
E_form = -0.46 eV per atom
SG = C2/m (12)


The following is a DFT calculation (PBE) of Nd2HoGa after structural relaxation.

Unit cell a=5.429 b=5.429 c=5.429 alpha=60.00 beta=60.00 gamma=60.00
Element x y z (fractional)
Nd 0.250 0.250 0.250
Nd 0.750 0.750 0.750
Ho 0.000 0.000 0.000
Ga 0.500 0.500 0.500

Results
Calculated volume = 113.2 Å³/cell
Crystal system = cubic
E above lowest polymorph = 0.63 eV/f.u.
E_form = -0.10 eV per atom
SG = Fm-3m (225)


The following is a DFT calculation (PBE) of Nd2HoGa4 after structural relaxation.

Unit cell a=4.190 b=4.317 c=9.844 alpha=102.67 beta=102.29 gamma=90.00
Last column: magnetic moment on the atom in μB.
Element x y z (fractional)
Nd 0.816 0.816 0.631  0.10
Nd 0.184 0.184 0.369  0.10
Ho 0.500 0.000 0.000  0.01
Ga 0.640 0.640 0.280  0.00
Ga 0.360 0.360 0.720  0.00
Ga 0.065 0.565 0.129  0.00
Ga 0.935 0.435 0.871  0.00

Results
Calculated volume = 169.5 Å³/cell
Crystal system = orthorhombic
E_form = -0.60 eV per atom
SG = Immm (71)


The following is a DFT calculation (PBE) of NdHo3Ga3 after structural relaxation.

Unit cell a=4.784 b=9.226 c=9.226 alpha=120.00 beta=90.00 gamma=90.00
Element x y z (fractional)
Nd 0.250 0.667 0.333
Nd 0.750 0.333 0.667
Ho 0.750 0.762 0.744
Ho 0.750 0.256 0.018
Ho 0.750 0.982 0.238
Ho 0.250 0.238 0.256
Ho 0.250 0.744 0.982
Ho 0.250 0.018 0.762
Ga 0.250 0.551 0.609
Ga 0.250 0.391 0.943
Ga 0.250 0.057 0.449
Ga 0.750 0.449 0.391
Ga 0.750 0.609 0.057
Ga 0.750 0.943 0.551

Results
Calculated volume = 352.6 Å³/cell
Crystal system = hexagonal
E_form = -0.44 eV per atom
SG = P6_3/m (176)


The following is a DFT calculation (PBE) of NdHo2Ga6 after structural relaxation.

Unit cell a=4.168 b=7.320 c=7.320 alpha=120.00 beta=90.00 gamma=90.00
Element x y z (fractional)
Nd 0.000 0.000 0.000
Ho 0.000 0.333 0.667
Ho 0.000 0.667 0.333
Ga 0.500 0.335 0.335
Ga 0.500 0.665 0.665
Ga 0.500 0.000 0.665
Ga 0.500 0.665 0.000
Ga 0.500 0.335 0.000
Ga 0.500 0.000 0.335

Results
Calculated volume = 193.4 Å³/cell
Crystal system = hexagonal
E above lowest polymorph = 0.00 eV/f.u.
E_form = -0.64 eV per atom
SG = P6/mmm (191)